Arrangement 1

A plane-wave DFT calculation with GGA-PBE was carried out for an optimized crystal structure of RbMnTl2.

total magnetization: 6.994 Bohr magnetons per cell

Cell: 6.1667 6.1667 10.0094 Å, 72.06 72.06 90.00°
Site moments in Bohr magnetons follow the coordinates.
Positions (direct):
Tl  0.3746  0.1250  0.2500  -0.08
Tl  0.3754  0.6250  0.2500  -0.08
Tl  0.3750  0.6254  0.7500  -0.12
Tl  0.8750  0.6246  0.7500  -0.11
Mn  0.5000  0.5000  0.0000  3.68
Mn  0.2500  0.7500  0.5000  3.69
Rb  0.0000  0.0000  0.0000  -0.01
Rb  0.7500  0.2500  0.5000  -0.01

Arrangement 2

A plane-wave DFT calculation with GGA-PBE was carried out for an optimized crystal structure of RbMnTl2.

total magnetization: 4.131 Bohr magnetons per cell

Cell: 5.5550 5.5550 5.5550 Å, 60.00 60.00 60.00°
Site moments in Bohr magnetons follow the coordinates.
Positions (direct):
Tl  0.2500  0.2500  0.2500  -0.06
Tl  0.7500  0.7500  0.7500  -0.06
Mn  0.0000  0.0000  0.0000  4.16
Rb  0.5000  0.5000  0.5000  -0.02

Of them, arrangement 1 has the highest stability.

Arrangement 1

A plane-wave DFT calculation with GGA-PBE was carried out for an optimized crystal structure of RbMnV2.

total magnetization: 7.854 Bohr magnetons per cell

Cell: 7.1040 7.1040 6.9517 Å, 59.27 59.27 90.00°
Site moments in Bohr magnetons follow the coordinates.
Positions (direct):
Mn  0.5000  0.5000  0.0000  -1.32
Mn  0.2500  0.7500  0.5000  -1.32
Rb  0.0000  0.0000  0.0000  0.03
Rb  0.7500  0.2500  0.5000  0.03
V  0.3753  0.1250  0.2500  2.08
V  0.3747  0.6250  0.2500  2.08
V  0.3750  0.6247  0.7500  2.08
V  0.8750  0.6253  0.7500  2.08

Arrangement 2

A plane-wave DFT calculation with GGA-PBE was carried out for an optimized crystal structure of RbMnV2.

total magnetization: 3.352 Bohr magnetons per cell

Cell: 4.9006 4.9006 4.9006 Å, 60.00 60.00 60.00°
Site moments in Bohr magnetons follow the coordinates.
Positions (direct):
Mn  0.0000  0.0000  0.0000  3.46
Rb  0.5000  0.5000  0.5000  -0.11
V  0.2500  0.2500  0.2500  -2.73
V  0.7500  0.7500  0.7500  -2.73

Of them, arrangement 1 has the highest stability.

Arrangement 1

A plane-wave DFT calculation with GGA-PBE was carried out for an optimized crystal structure of RbMnV3.

total magnetization: 6.408 Bohr magnetons per cell

Cell: 4.7546 4.7546 4.7546 Å, 90.00 90.00 90.00°
Site moments in Bohr magnetons follow the coordinates.
Positions (direct):
Mn  0.0000  0.0000  0.0000  -1.75
Rb  0.5000  0.5000  0.5000  0.10
V  0.0000  0.5000  0.0000  2.18
V  0.0000  0.0000  0.5000  2.18
V  0.5000  0.0000  0.0000  2.18

Arrangement 2

A plane-wave DFT calculation with GGA-PBE was carried out for an optimized crystal structure of RbMnV3.

total magnetization: 4.777 Bohr magnetons per cell

Cell: 4.4938 4.4938 4.4938 Å, 90.00 90.00 90.00°
Site moments in Bohr magnetons follow the coordinates.
Positions (direct):
Mn  0.5000  0.5000  0.5000  4.05
Rb  0.0000  0.0000  0.0000  0.03
V  0.0000  0.5000  0.0000  0.14
V  0.0000  0.0000  0.5000  0.14
V  0.5000  0.0000  0.0000  0.14

Of them, arrangement 1 has the highest stability.

Arrangement 1

A plane-wave DFT calculation with GGA-PBE was carried out for an optimized crystal structure of RbMnW3.

total magnetization: 0.000 Bohr magnetons per cell

Cell: 4.6842 4.6842 4.6842 Å, 90.00 90.00 90.00°
Positions (direct):
Mn  0.0000  0.0000  0.0000
Rb  0.5000  0.5000  0.5000
W  0.0000  0.5000  0.0000
W  0.0000  0.0000  0.5000
W  0.5000  0.0000  0.0000

Arrangement 2

A plane-wave DFT calculation with GGA-PBE was carried out for an optimized crystal structure of RbMnW3.

total magnetization: 0.170 Bohr magnetons per cell

Cell: 4.6157 4.6157 4.6157 Å, 90.00 90.00 90.00°
Site moments in Bohr magnetons follow the coordinates.
Positions (direct):
Mn  0.5000  0.5000  0.5000  0.25
Rb  0.0000  0.0000  0.0000  0.00
W  0.0000  0.5000  0.0000  0.00
W  0.0000  0.0000  0.5000  0.00
W  0.5000  0.0000  0.0000  -0.05

Of them, arrangement 1 has the highest stability.

Arrangement 1

A plane-wave DFT calculation with GGA-PBE was carried out for an optimized crystal structure of RbY2Mn.

total magnetization: 0.000 Bohr magnetons per cell

Cell: 7.8603 7.8603 7.8606 Å, 60.00 60.00 90.00°
Positions (direct):
Y  0.3750  0.1250  0.2500
Y  0.3750  0.6250  0.2500
Y  0.3750  0.6250  0.7500
Y  0.8750  0.6250  0.7500
Mn  0.5000  0.5000  0.0000
Mn  0.2500  0.7500  0.5000
Rb  0.0000  0.0000  0.0000
Rb  0.7500  0.2500  0.5000

Arrangement 2

A plane-wave DFT calculation with GGA-PBE was carried out for an optimized crystal structure of RbY2Mn.

total magnetization: 3.704 Bohr magnetons per cell

Cell: 5.5532 5.5532 5.5532 Å, 60.00 60.00 60.00°
Site moments in Bohr magnetons follow the coordinates.
Positions (direct):
Y  0.2500  0.2500  0.2500  -0.18
Y  0.7500  0.7500  0.7500  -0.18
Mn  0.0000  0.0000  0.0000  3.93
Rb  0.5000  0.5000  0.5000  -0.03

Of them, arrangement 1 has the highest stability.

Arrangement 1

A plane-wave DFT calculation with GGA-PBE was carried out for an optimized crystal structure of RbY2Mn2.

total magnetization: 11.774 Bohr magnetons per cell

Cell: 8.9186 8.9186 3.5382 Å, 90.00 90.00 90.00°
Site moments in Bohr magnetons follow the coordinates.
Positions (direct):
Y  0.1574  0.6574  0.5000  -0.33
Y  0.6574  0.8426  0.5000  -0.34
Y  0.8426  0.3426  0.5000  -0.33
Y  0.3426  0.1574  0.5000  -0.34
Mn  0.3890  0.8890  0.0000  3.46
Mn  0.8890  0.6110  0.0000  3.47
Mn  0.6110  0.1110  0.0000  3.46
Mn  0.1110  0.3890  0.0000  3.47
Rb  0.0000  0.0000  0.0000  -0.04
Rb  0.5000  0.5000  0.0000  -0.04

Arrangement 2

A plane-wave DFT calculation with GGA-PBE was carried out for an optimized crystal structure of RbY2Mn2.

total magnetization: 6.404 Bohr magnetons per cell

Cell: 4.9142 4.9142 7.5394 Å, 70.98 70.98 90.00°
Site moments in Bohr magnetons follow the coordinates.
Positions (direct):
Y  0.7500  0.2500  0.5000  -0.41
Y  0.2500  0.7500  0.5000  -0.41
Mn  0.3881  0.3881  0.2238  3.72
Mn  0.6119  0.6119  0.7762  3.72
Rb  0.0000  0.0000  0.0000  -0.02

Of them, arrangement 1 has the highest stability.